A plane-wave DFT calculation with PBE was carried out for crystalline Pr3Er12In at its relaxed geometry.

a = 4.962 Å, b = 4.962 Å, c = 20.078 Å
α = 90.00°, β = 90.00°, γ = 90.00°
Fractional positions:
1 Pr 0.000 0.000 0.248
2 Pr 0.000 0.000 0.500
3 Pr 0.000 0.000 0.752
4 Er 0.500 0.500 0.000
5 Er 0.500 0.500 0.242
6 Er 0.500 0.500 0.500
7 Er 0.500 0.500 0.758
8 Er 0.500 0.000 0.119
9 Er 0.500 0.000 0.373
10 Er 0.500 0.000 0.627
11 Er 0.500 0.000 0.881
12 Er 0.000 0.500 0.119
13 Er 0.000 0.500 0.373
14 Er 0.000 0.500 0.627
15 Er 0.000 0.500 0.881
16 In 0.000 0.000 0.000

* crystal system: tetragonal
* density of states at the Fermi level: 20.58 states/eV per cell
* calculated total energy: -4.52 eV/atom